Nb6SnSe8 after structural relaxation, computed with GGA-PBEsol. Values from VASP.

```
&SYSTEM
  ibrav = 0, nat = 15, ntyp = 3
/
ATOMIC_SPECIES
Nb 92.91 Nb.upf
Sn 118.71 Sn.upf
Se 78.96 Se.upf
ATOMIC_POSITIONS crystal
Nb 0.108 0.488 0.248
Nb 0.379 0.892 0.248
Nb 0.488 0.379 0.752
Nb 0.512 0.621 0.248
Nb 0.621 0.108 0.752
Nb 0.892 0.512 0.752
Sn 0.000 0.000 0.000
Se 0.059 0.724 0.252
Se 0.276 0.334 0.252
Se 0.333 0.667 0.749
Se 0.334 0.059 0.748
Se 0.666 0.941 0.252
Se 0.667 0.333 0.251
Se 0.724 0.666 0.748
Se 0.941 0.276 0.748
CELL_PARAMETERS angstrom
9.937 0.000 0.000
-4.968 8.605 0.000
0.000 0.000 3.457
```

Output
raw formation energy = -810 meV per atom
D(E_F) = 3.9 states/eV/f.u.
size of the total moment = 0.0 μB/f.u.
E_tot = -7.476 eV/atom
density = 7.3 g cm⁻³